Computed, not measured: an optimized crystal structure of ErScI at the PBE-GGA level of DFT.

The calculation puts the offset from the most stable computed form at 111 meV per atom. The value obtained for the raw formation energy is -0.108 eV per atom. The total magnetization is 0.00 μB/f.u. The calculation puts the density of states at the Fermi level at 0.9882 states/eV per atom.

It has space group P3m1 (No. 156), with a = 5.1282 Å, b = 5.1282 Å, c = 3.7044 Å, α = 90.00°, β = 90.00° and γ = 120.00°. The asymmetric unit holds Er at (0.0000, 0.0000, 0.0000), Sc at (0.6667, 0.3333, 0.5094) and I at (0.3333, 0.6667, 0.5641).

---

Computed, not measured: an optimized crystal structure of EuHo2Au at the PBE-GGA level of DFT.

The formation enthalpy at 0 K is -0.2646 eV/atom. The calculation puts the offset from the most stable computed form at 93 meV per atom. The total magnetization is 7.63 μB/f.u. The calculation puts the density of states at the Fermi level at 1.1938 states/eV per atom.

It has space group R-3m (No. 166, hexagonal axes), with a = 3.8117 Å, b = 3.8117 Å, c = 30.3153 Å, α = 90.00°, β = 90.00° and γ = 120.00°. The asymmetric unit holds Eu at (0.0000, 0.0000, 0.0000), Ho at (0.0000, 0.0000, 0.2304) and Au at (0.0000, 0.0000, 0.5000).

---

Computed, not measured: an optimized crystal structure of SmInPtRh at the PBE-GGA level of DFT.

The formation enthalpy at 0 K is -0.7249 eV/atom. The total magnetization is 0.00 μB/f.u. The calculation puts the density of states at the Fermi level at 0.7691 states/eV per atom.

It has space group F-43m (No. 216), with a = 6.8105 Å, b = 6.8105 Å, c = 6.8105 Å, α = 90.00°, β = 90.00° and γ = 90.00°. The asymmetric unit holds Sm at (0.0000, 0.0000, 0.0000), In at (0.0000, 0.0000, 0.5000), Pt at (0.2500, 0.2500, 0.7500) and Rh at (0.2500, 0.2500, 0.2500).